Si2PS2 | GGA-PBE | relaxed

Summary:
The crystal system is tetragonal. As for the volume: 18.5 Å³ per atom. The polymorph energy (0 for the lowest one) comes out at 69.5 meV/atom. For the raw formation energy, the calculation gives 538 meV/atom. For the total magnetic moment, the calculation gives 0.000 Bohr magnetons per cell. The calculation puts the density of states at the Fermi level at 2.3 states/eV/f.u.

Structure (CIF):
```
data_Si2PS2
_cell_length_a 7.5350
_cell_length_b 7.5350
_cell_length_c 3.2663
_cell_angle_alpha 90.00
_cell_angle_beta 90.00
_cell_angle_gamma 90.00
_space_group_name_H-M_alt 'P 4/m b m'
_space_group_IT_number 127
_space_group_name_Hall '-P 4 2ab'
loop_
_atom_site_label
_atom_site_fract_x
_atom_site_fract_y
_atom_site_fract_z
Si1 0.1852 0.3148 0.0000
P1 0.0000 0.0000 0.5000
S1 0.1678 0.6678 0.5000
```